The following is a GGA-PBE calculation of a geometry-optimized SmAgHgSb structure, from Alexandria.

Lattice parameters (Å, degrees): 5.2034 5.2034 5.2034 60.00 60.00 60.00
Fractional positions:
Sb: 0.5000 0.5000 0.5000
Ag: 0.2500 0.2500 0.2500
Hg: 0.0000 0.0000 0.0000
Sm: 0.7500 0.7500 0.7500

## Properties
raw total energy = -3.35 eV per atom
magnetic moment = 0.00 μB/f.u.
raw formation energy = -134 kJ/mol of formula units

=====

The following is a GGA-PBE calculation of a geometry-optimized AgSnHgSb structure, from Alexandria.

Lattice parameters (Å, degrees): 5.2191 5.2191 5.2191 60.00 60.00 60.00
Fractional positions:
Sb: 0.5000 0.5000 0.5000
Hg: 0.0000 0.0000 0.0000
Ag: 0.7500 0.7500 0.7500
Sn: 0.2500 0.2500 0.2500

## Properties
raw total energy = -2.70 eV per atom
magnetic moment = 0.00 μB/f.u.
raw formation energy = 48 kJ/mol of formula units

=====

The following is a GGA-PBE calculation of a geometry-optimized SrAgHgSb structure, from Alexandria.

Lattice parameters (Å, degrees): 5.3503 5.3503 5.3503 60.00 60.00 60.00
Fractional positions:
Sb: 0.2500 0.2500 0.2500
Hg: 0.7500 0.7500 0.7500
Ag: 0.0000 0.0000 0.0000
Sr: 0.5000 0.5000 0.5000

## Properties
raw total energy = -2.64 eV per atom
magnetic moment = 0.00 μB/f.u.
raw formation energy = -156 kJ/mol of formula units

=====

The following is a GGA-PBE calculation of a geometry-optimized AgHg2SbTe structure, from Alexandria.

Lattice parameters (Å, degrees): 5.2703 5.6370 5.2703 90.00 90.00 90.00
Fractional positions:
Sb: 0.5000 0.5000 0.5000
Te: 0.0000 0.5000 0.0000
Hg: 0.0000 0.0000 0.5000
Hg: 0.5000 0.0000 0.0000
Ag: 0.0000 0.0000 0.0000

## Properties
raw total energy = -1.73 eV per atom
magnetic moment = 0.00 μB/f.u.
raw formation energy = 198 kJ/mol of formula units

=====

The following is a GGA-PBE calculation of a geometry-optimized TlAgHgSb structure, from Alexandria.

Lattice parameters (Å, degrees): 5.2496 5.2496 5.2496 60.00 60.00 60.00
Fractional positions:
Sb: 0.7500 0.7500 0.7500
Tl: 0.2500 0.2500 0.2500
Hg: 0.5000 0.5000 0.5000
Ag: 0.0000 0.0000 0.0000

## Properties
raw total energy = -2.27 eV per atom
magnetic moment = 0.00 μB/f.u.
raw formation energy = 56 kJ/mol of formula units

=====

The following is a GGA-PBE calculation of a geometry-optimized UAgHgSb structure, from Alexandria.

Lattice parameters (Å, degrees): 5.1314 5.1314 5.1314 60.00 60.00 60.00
Fractional positions:
Sb: 0.7500 0.7500 0.7500
U: 0.5000 0.5000 0.5000
Hg: 0.2500 0.2500 0.2500
Ag: 0.0000 0.0000 0.0000

## Properties
raw total energy = -4.56 eV per atom
magnetic moment = 2.99 μB/f.u.
raw formation energy = 29 kJ/mol of formula units

=====

The following is a GGA-PBE calculation of a geometry-optimized Zn2Ag7HgSb2 structure, from Alexandria.

Lattice parameters (Å, degrees): 4.2165 4.2165 14.5234 73.54 73.54 90.29
Fractional positions:
Zn: 0.8194 0.8194 0.6821
Zn: 0.1806 0.1806 0.3179
Ag: 0.5000 0.5000 0.0000
Ag: 0.2347 0.2347 0.4998
Ag: 0.7653 0.7653 0.5002
Ag: 0.8391 0.3375 0.1623
Ag: 0.3375 0.8391 0.1623
Ag: 0.6625 0.1609 0.8377
Ag: 0.1609 0.6625 0.8377
Hg: 0.0000 0.0000 0.0000
Sb: 0.6773 0.6773 0.3213
Sb: 0.3227 0.3227 0.6787

## Properties
raw total energy = -2.52 eV per atom
magnetic moment = 0.00 μB/f.u.
raw formation energy = 77 kJ/mol of formula units

=====

The following is a GGA-PBE calculation of a geometry-optimized ScAgHg structure, from Alexandria.

Lattice parameters (Å, degrees): 3.6579 3.6579 5.2351 110.45 110.45 90.00
Fractional positions:
Sc: 0.6661 0.6661 0.3323
Hg: 0.3342 0.3342 0.6683
Ag: 0.9997 0.9997 0.9994

## Properties
raw total energy = -3.44 eV per atom
magnetic moment = 0.08 μB/f.u.
E_form = -0.280 eV/atom

=====

The following is a GGA-PBE calculation of a geometry-optimized ScAgHg structure, from Alexandria.

Lattice parameters (Å, degrees): 3.4004 3.4004 6.6172 90.00 90.00 120.00
Fractional positions:
Ag: 0.0000 0.0000 0.9939
Hg: 0.6667 0.3333 0.3338
Sc: 0.3333 0.6667 0.6724

## Properties
raw total energy = -3.25 eV per atom
magnetic moment = 0.00 μB/f.u.
E_form = -0.093 eV/atom

=====

The following is a GGA-PBE calculation of a geometry-optimized ScAgHg2 structure, from Alexandria.

Lattice parameters (Å, degrees): 3.6442 3.6304 6.4559 90.00 90.00 90.00
Fractional positions:
Sc: 0.0000 0.0000 0.5054
Hg: 0.0000 0.0000 0.9845
Hg: 0.5000 0.5000 0.2670
Ag: 0.5000 0.5000 0.7430

## Properties
raw total energy = -2.60 eV per atom
magnetic moment = 0.00 μB/f.u.
E_form = -0.153 eV/atom

=====

The following is a GGA-PBE calculation of a geometry-optimized Sc2Ag2Hg3 structure, from Alexandria.

Lattice parameters (Å, degrees): 4.1351 5.2820 7.3759 98.96 90.09 112.89
Fractional positions:
Sc: 0.5817 0.1641 0.7231
Sc: 0.4183 0.8359 0.2769
Ag: 0.8638 0.7283 0.5566
Ag: 0.1362 0.2717 0.4434
Hg: 0.0000 0.0000 0.0000
Hg: 0.7050 0.4093 0.1646
Hg: 0.2950 0.5907 0.8354

## Properties
raw total energy = -2.96 eV per atom
magnetic moment = 0.00 μB/f.u.
E_form = -0.203 eV/atom

=====

The following is a GGA-PBE calculation of a geometry-optimized Sc4Ag4Hg3 structure, from Alexandria.

Lattice parameters (Å, degrees): 3.6023 3.6020 17.2882 95.97 95.97 90.00
Fractional positions:
Sc: 0.5490 0.5489 0.0979
Sc: 0.4510 0.4511 0.9020
Sc: 0.8155 0.8157 0.6308
Sc: 0.1844 0.1844 0.3692
Ag: 0.0936 0.0935 0.1873
Ag: 0.2706 0.2707 0.5414
Ag: 0.7293 0.7293 0.4586
Ag: 0.9064 0.9065 0.8127
Hg: 0.6392 0.6390 0.2784
Hg: 0.3608 0.3610 0.7216
Hg: 0.0000 0.0000 0.0000

## Properties
raw total energy = -3.74 eV per atom
magnetic moment = 0.00 μB/f.u.
E_form = -0.318 eV/atom

=====

The following is a GGA-PBE calculation of a geometry-optimized Sc2Ag3Hg4 structure, from Alexandria.

Lattice parameters (Å, degrees): 4.8219 4.8363 9.0794 89.77 89.99 60.10
Fractional positions:
Sc: 0.3333 0.3337 0.7735
Sc: 0.6667 0.6663 0.2265
Ag: 0.3333 0.3332 0.4369
Ag: 0.0000 0.0000 0.0000
Ag: 0.6667 0.6668 0.5631
Hg: 0.6667 0.6667 0.8947
Hg: 0.0004 0.9990 0.3381
Hg: 0.9996 0.0010 0.6619
Hg: 0.3333 0.3333 0.1053

## Properties
raw total energy = -2.69 eV per atom
magnetic moment = 0.00 μB/f.u.
E_form = -0.194 eV/atom

=====

The following is a GGA-PBE calculation of a geometry-optimized Sc7Ag2Hg2 structure, from Alexandria.

Lattice parameters (Å, degrees): 6.3546 7.1295 6.3546 90.01 109.76 89.99
Fractional positions:
Sc: 0.0000 0.2806 0.4998
Sc: 0.4998 0.7194 0.0000
Sc: 0.0000 0.7194 0.5002
Sc: 0.5002 0.2806 0.0000
Sc: 0.0000 0.0000 0.0000
Sc: 0.5000 0.7442 0.5000
Sc: 0.5000 0.2558 0.5000
Ag: 0.7084 0.9999 0.2916
Ag: 0.2916 0.0001 0.7084
Hg: 0.8102 0.5000 0.8102
Hg: 0.1898 0.5000 0.1898

## Properties
raw total energy = -4.56 eV per atom
magnetic moment = 0.00 μB/f.u.
E_form = 0.044 eV/atom

=====

The following is a GGA-PBE calculation of a geometry-optimized ScAg6Hg structure, from Alexandria.

Lattice parameters (Å, degrees): 5.0449 5.0449 7.4558 77.30 77.30 67.93
Fractional positions:
Sc: 0.0000 0.0000 0.0000
Ag: 0.0501 0.5354 0.2996
Ag: 0.5354 0.0501 0.2996
Ag: 0.4646 0.9499 0.7004
Ag: 0.9499 0.4646 0.7004
Ag: 0.3589 0.3589 0.9385
Ag: 0.6411 0.6411 0.0615
Hg: 0.5000 0.5000 0.5000

## Properties
raw total energy = -2.88 eV per atom
magnetic moment = 0.00 μB/f.u.
E_form = 0.090 eV/atom

=====

The following is a GGA-PBE calculation of a geometry-optimized Sc4AgHg2 structure, from Alexandria.

Lattice parameters (Å, degrees): 4.8650 4.8650 8.3763 73.12 73.12 60.00
Fractional positions:
Sc: 0.8727 0.8727 0.3819
Sc: 0.1273 0.1273 0.6181
Sc: 0.6213 0.6213 0.1360
Sc: 0.3787 0.3787 0.8640
Ag: 0.0000 0.0000 0.0000
Hg: 0.7504 0.7504 0.7487
Hg: 0.2496 0.2496 0.2513

## Properties
raw total energy = -4.33 eV per atom
magnetic moment = 0.00 μB/f.u.
E_form = -0.221 eV/atom

=====

The following is a GGA-PBE calculation of a geometry-optimized ScAgHg2 structure, from Alexandria.

Lattice parameters (Å, degrees): 8.9573 8.9573 8.9573 22.09 22.09 22.09
Fractional positions:
Ag: 0.7500 0.7500 0.7500
Hg: 0.0007 0.0007 0.0007
Hg: 0.4993 0.4993 0.4993
Sc: 0.2500 0.2500 0.2500

## Properties
raw total energy = -2.55 eV per atom
magnetic moment = 0.00 μB/f.u.
E_form = -0.105 eV/atom

=====

The following is a GGA-PBE calculation of a geometry-optimized ScAg5Hg2 structure, from Alexandria.

Lattice parameters (Å, degrees): 5.0747 5.0747 6.9611 106.98 106.98 101.45
Fractional positions:
Sc: 0.5000 0.5000 0.0000
Ag: 0.1205 0.6205 0.2410
Ag: 0.6205 0.1205 0.2410
Ag: 0.3795 0.8795 0.7590
Ag: 0.8795 0.3795 0.7590
Ag: 0.0000 0.0000 0.0000
Hg: 0.2533 0.2533 0.5066
Hg: 0.7467 0.7467 0.4934

## Properties
raw total energy = -2.70 eV per atom
magnetic moment = 0.00 μB/f.u.
E_form = -0.053 eV/atom

=====

The following is a GGA-PBE calculation of a geometry-optimized ScAgHg2 structure, from Alexandria.

Lattice parameters (Å, degrees): 3.5873 3.4594 7.5480 63.10 90.00 90.00
Fractional positions:
Sc: 0.5000 0.2500 0.2500
Hg: 0.0000 0.0014 0.9968
Hg: 0.0000 0.4986 0.5032
Ag: 0.5000 0.7500 0.7500

## Properties
raw total energy = -2.64 eV per atom
magnetic moment = 0.21 μB/f.u.
E_form = -0.196 eV/atom

=====

The following is a GGA-PBE calculation of a geometry-optimized ScAg2Hg structure, from Alexandria.

Lattice parameters (Å, degrees): 4.8019 4.8019 4.8019 60.00 60.00 60.00
Fractional positions:
Sc: 0.7500 0.7500 0.7500
Hg: 0.5000 0.5000 0.5000
Ag: 0.0000 0.0000 0.0000
Ag: 0.2500 0.2500 0.2500

## Properties
raw total energy = -3.29 eV per atom
magnetic moment = 0.00 μB/f.u.
E_form = -0.205 eV/atom